An optimized crystal structure of CaSc2BRh. Source: Alexandria via LeMat-Bulk, functional GGA-PBE.

Values from the calculation:
Its formation energy is 0.61 eV per atom.

CIF file:
```
data_CaSc2BRh
_cell_length_a 4.901
_cell_length_b 4.901
_cell_length_c 5.367
_cell_angle_alpha 90.00
_cell_angle_beta 90.00
_cell_angle_gamma 90.00
_space_group_name_H-M_alt 'P 4/m m m'
_space_group_IT_number 123
_space_group_name_Hall '-P 4 2'
loop_
_atom_site_label
_atom_site_fract_x
_atom_site_fract_y
_atom_site_fract_z
Ca1 0.000 0.000 0.000
Sc1 0.000 0.500 0.500
B1 0.500 0.500 0.000
Rh1 0.000 0.000 0.500
```

---

An optimized crystal structure of CaBRh2Se. Source: Alexandria via LeMat-Bulk, functional GGA-PBE.

CIF file:
```
data_CaBRh2Se
_cell_length_a 4.148
_cell_length_b 4.148
_cell_length_c 4.852
_cell_angle_alpha 90.00
_cell_angle_beta 90.00
_cell_angle_gamma 90.00
_space_group_name_H-M_alt 'P 4/m m m'
_space_group_IT_number 123
_space_group_name_Hall '-P 4 2'
loop_
_atom_site_label
_atom_site_fract_x
_atom_site_fract_y
_atom_site_fract_z
Ca1 0.000 0.000 0.000
B1 0.500 0.500 0.500
Rh1 0.000 0.500 0.500
Se1 0.500 0.500 0.000
```

---

An optimized crystal structure of Ca2SiB2Rh5. Source: Alexandria via LeMat-Bulk, functional GGA-PBE.

CIF file:
```
data_Ca2SiB2Rh5
_cell_length_a 9.627
_cell_length_b 9.627
_cell_length_c 2.968
_cell_angle_alpha 90.00
_cell_angle_beta 90.00
_cell_angle_gamma 90.00
_space_group_name_H-M_alt 'P 4/m b m'
_space_group_IT_number 127
_space_group_name_Hall '-P 4 2ab'
loop_
_atom_site_label
_atom_site_fract_x
_atom_site_fract_y
_atom_site_fract_z
Ca1 0.176 0.324 0.000
Si1 0.000 0.000 0.000
B1 0.123 0.623 0.000
Rh1 0.000 0.500 0.500
Rh2 0.068 0.787 0.500
```

---

An optimized crystal structure of CaSiBRh3. Source: Alexandria via LeMat-Bulk, functional GGA-PBE.

CIF file:
```
data_CaSiBRh3
_cell_length_a 5.732
_cell_length_b 11.989
_cell_length_c 5.718
_cell_angle_alpha 90.00
_cell_angle_beta 90.00
_cell_angle_gamma 90.00
_space_group_name_H-M_alt 'C m c m'
_space_group_IT_number 63
_space_group_name_Hall '-C 2c 2'
loop_
_atom_site_label
_atom_site_fract_x
_atom_site_fract_y
_atom_site_fract_z
Ca1 0.000 0.247 0.250
Si1 0.000 0.115 0.750
B1 0.000 0.476 0.750
Rh1 0.000 0.305 0.750
Rh2 0.247 0.000 0.000
```

---

An optimized crystal structure of Ca2SnB2Rh5. Source: Alexandria via LeMat-Bulk, functional GGA-PBE.

Values from the calculation:
Its formation energy is -0.63 eV per atom.

CIF file:
```
data_Ca2SnB2Rh5
_cell_length_a 9.884
_cell_length_b 9.884
_cell_length_c 3.048
_cell_angle_alpha 90.00
_cell_angle_beta 90.00
_cell_angle_gamma 90.00
_space_group_name_H-M_alt 'P 4/m b m'
_space_group_IT_number 127
_space_group_name_Hall '-P 4 2ab'
loop_
_atom_site_label
_atom_site_fract_x
_atom_site_fract_y
_atom_site_fract_z
Ca1 0.177 0.323 0.000
Sn1 0.000 0.000 0.000
B1 0.120 0.620 0.000
Rh1 0.000 0.500 0.500
Rh2 0.070 0.774 0.500
```

---

An optimized crystal structure of CaSn2BRh. Source: Alexandria via LeMat-Bulk, functional GGA-PBE.

Values from the calculation:
Its formation energy is 1.77 eV per atom.

CIF file:
```
data_CaSn2BRh
_cell_length_a 5.723
_cell_length_b 5.723
_cell_length_c 4.710
_cell_angle_alpha 90.00
_cell_angle_beta 90.00
_cell_angle_gamma 90.00
_space_group_name_H-M_alt 'P 4/m m m'
_space_group_IT_number 123
_space_group_name_Hall '-P 4 2'
loop_
_atom_site_label
_atom_site_fract_x
_atom_site_fract_y
_atom_site_fract_z
Ca1 0.000 0.000 0.000
Sn1 0.000 0.500 0.000
B1 0.500 0.500 0.500
Rh1 0.000 0.000 0.500
```

---

An optimized crystal structure of CaTi2BRh. Source: Alexandria via LeMat-Bulk, functional GGA-PBE.

Values from the calculation:
Its formation energy is 2.30 eV per atom.

CIF file:
```
data_CaTi2BRh
_cell_length_a 4.651
_cell_length_b 4.651
_cell_length_c 4.539
_cell_angle_alpha 90.00
_cell_angle_beta 90.00
_cell_angle_gamma 90.00
_space_group_name_H-M_alt 'P 4/m m m'
_space_group_IT_number 123
_space_group_name_Hall '-P 4 2'
loop_
_atom_site_label
_atom_site_fract_x
_atom_site_fract_y
_atom_site_fract_z
Ca1 0.000 0.000 0.000
Ti1 0.000 0.500 0.000
B1 0.500 0.500 0.500
Rh1 0.000 0.000 0.500
```

---

An optimized crystal structure of Ca3Tl2BRh3. Source: Alexandria via LeMat-Bulk, functional GGA-PBE.

Values from the calculation:
Its formation energy is -0.27 eV per atom.

CIF file:
```
data_Ca3Tl2BRh3
_cell_length_a 7.7983
_cell_length_b 7.7983
_cell_length_c 3.4486
_cell_angle_alpha 90.00
_cell_angle_beta 90.00
_cell_angle_gamma 120.00
_space_group_name_H-M_alt 'P -6 2 m'
_space_group_IT_number 189
_space_group_name_Hall 'P -6 -2'
loop_
_atom_site_label
_atom_site_fract_x
_atom_site_fract_y
_atom_site_fract_z
Ca1 0.0000 0.6513 0.0000
Tl1 0.3333 0.6667 0.5000
B1 0.0000 0.0000 0.0000
Rh1 0.0000 0.2041 0.5000
```

---

An optimized crystal structure of Ca2TlB2Rh5. Source: Alexandria via LeMat-Bulk, functional GGA-PBE.

Values from the calculation:
Its formation energy is -0.49 eV per atom.

CIF file:
```
data_Ca2TlB2Rh5
_cell_length_a 9.999
_cell_length_b 9.999
_cell_length_c 3.051
_cell_angle_alpha 90.00
_cell_angle_beta 90.00
_cell_angle_gamma 90.00
_space_group_name_H-M_alt 'P 4/m b m'
_space_group_IT_number 127
_space_group_name_Hall '-P 4 2ab'
loop_
_atom_site_label
_atom_site_fract_x
_atom_site_fract_y
_atom_site_fract_z
Ca1 0.178 0.322 0.000
Tl1 0.000 0.000 0.000
B1 0.120 0.620 0.000
Rh1 0.000 0.500 0.500
Rh2 0.069 0.768 0.500
```

---

An optimized crystal structure of Ca2TmB2Rh5. Source: Alexandria via LeMat-Bulk, functional GGA-PBE.

Values from the calculation:
Its formation energy is -0.61 eV per atom.

CIF file:
```
data_Ca2TmB2Rh5
_cell_length_a 10.038
_cell_length_b 10.038
_cell_length_c 3.083
_cell_angle_alpha 90.00
_cell_angle_beta 90.00
_cell_angle_gamma 90.00
_space_group_name_H-M_alt 'P 4/m b m'
_space_group_IT_number 127
_space_group_name_Hall '-P 4 2ab'
loop_
_atom_site_label
_atom_site_fract_x
_atom_site_fract_y
_atom_site_fract_z
Ca1 0.178 0.322 0.000
Tm1 0.000 0.000 0.000
B1 0.120 0.620 0.000
Rh1 0.000 0.500 0.500
Rh2 0.070 0.768 0.500
```

---

An optimized crystal structure of Ca2ZnB2Rh5. Source: Alexandria via LeMat-Bulk, functional GGA-PBE.

Values from the calculation:
Its formation energy is -0.55 eV per atom.

CIF file:
```
data_Ca2ZnB2Rh5
_cell_length_a 9.754
_cell_length_b 9.754
_cell_length_c 2.995
_cell_angle_alpha 90.00
_cell_angle_beta 90.00
_cell_angle_gamma 90.00
_space_group_name_H-M_alt 'P 4/m b m'
_space_group_IT_number 127
_space_group_name_Hall '-P 4 2ab'
loop_
_atom_site_label
_atom_site_fract_x
_atom_site_fract_y
_atom_site_fract_z
Ca1 0.177 0.323 0.000
Zn1 0.000 0.000 0.000
B1 0.124 0.624 0.000
Rh1 0.000 0.500 0.500
Rh2 0.069 0.778 0.500
```

---

An optimized crystal structure of Ca3Zn2BRh3. Source: Alexandria via LeMat-Bulk, functional GGA-PBE.

Values from the calculation:
Its formation energy is -0.29 eV per atom.

CIF file:
```
data_Ca3Zn2BRh3
_cell_length_a 7.3118
_cell_length_b 7.3118
_cell_length_c 3.4490
_cell_angle_alpha 90.00
_cell_angle_beta 90.00
_cell_angle_gamma 120.00
_space_group_name_H-M_alt 'P -6 2 m'
_space_group_IT_number 189
_space_group_name_Hall 'P -6 -2'
loop_
_atom_site_label
_atom_site_fract_x
_atom_site_fract_y
_atom_site_fract_z
Ca1 0.0000 0.6291 0.0000
Zn1 0.3333 0.6667 0.5000
B1 0.0000 0.0000 0.0000
Rh1 0.0000 0.2204 0.5000
```

---

Computed electronic total energy, in the same sequence as the records: -5.13; -5.62; -6.61; -6.62; -6.44; -3.03; -4.06; -4.66; -6.14; -6.47; -6.09; -4.44 eV/atom.